Arrangement i

A plane-wave DFT calculation with PBE was carried out for crystalline TaCrCo at its relaxed geometry.

Cell and atoms, written as POSCAR:
```
TaCrCo
1.0
-0.9485 0.5964 -3.9046
2.0991 -1.8998 -2.9131
-1.7413 -2.9780 -2.1449
Ta Co Cr
1 1 1
direct
0.5000 0.5000 0.5000
0.7500 0.7500 0.7500
0.0000 0.0000 0.0000
```

Results
DOS(E_F)   1.171 states/eV per atom
Magnetic moment   2.73 Bohr magnetons per cell



Arrangement ii

A plane-wave DFT calculation with PBE was carried out for crystalline TaCrCo at its relaxed geometry.

Cell and atoms, written as POSCAR:
```
TaCrCo
1.0
-2.9028 1.0843 3.8095
-1.1797 -3.4003 3.2339
1.7690 0.0335 4.5035
Ta Co Cr
2 2 2
direct
0.8719 0.3781 0.3781
0.1281 0.6219 0.6219
0.5000 0.0000 0.0000
0.0000 0.0000 0.0000
0.5000 0.0000 0.5000
0.5000 0.5000 0.0000
```

Results
DOS(E_F)   1.518 states/eV per atom
Magnetic moment   0.12 Bohr magnetons per cell



Energies, relative to the best one, in meV/atom: arrangement i 597; arrangement ii 0.



Arrangement i

A plane-wave DFT calculation with PBE was carried out for crystalline TaCrCo3 at its relaxed geometry.

Cell and atoms, written as POSCAR:
```
TaCrCo3
1.0
4.1275 0.0000 0.0000
0.0000 4.1275 0.0000
0.0000 0.0000 4.1275
Co Cr Ta
3 1 1
direct
0.5000 0.0000 0.0000
0.0000 0.0000 0.5000
0.0000 0.5000 0.0000
0.0000 0.0000 0.0000
0.5000 0.5000 0.5000
```

Results
DOS(E_F)   1.424 states/eV per atom
Magnetic moment   0.00 Bohr magnetons per cell



Arrangement ii

A plane-wave DFT calculation with PBE was carried out for crystalline TaCrCo3 at its relaxed geometry.

Cell and atoms, written as POSCAR:
```
TaCrCo3
1.0
4.3937 0.0000 0.0000
0.0000 4.3937 0.0000
0.0000 0.0000 4.3937
Ta Cr Co
1 1 3
direct
0.0000 0.0000 0.0000
0.5000 0.5000 0.5000
0.5000 0.0000 0.0000
0.0000 0.0000 0.5000
0.0000 0.5000 0.0000
```

Results
DOS(E_F)   2.034 states/eV per atom
Magnetic moment   1.11 Bohr magnetons per cell



Energies, relative to the best one, in meV/atom: arrangement i 0; arrangement ii 827.



Arrangement i

A plane-wave DFT calculation with PBE was carried out for crystalline Cr2Co2Tc at its relaxed geometry.

Cell and atoms, written as POSCAR:
```
Cr2Co2Tc
1.0
6.8672 0.0000 0.0000
0.0000 6.8672 0.0000
0.0000 0.0000 2.5081
Co Tc Cr
4 2 4
direct
0.6752 0.8248 0.5000
0.3248 0.1752 0.5000
0.8248 0.3248 0.5000
0.1752 0.6752 0.5000
0.0000 0.0000 0.0000
0.5000 0.5000 0.0000
0.1192 0.3808 0.0000
0.8808 0.6192 0.0000
0.6192 0.1192 0.0000
0.3808 0.8808 0.0000
```

Results
DOS(E_F)   0.844 states/eV per atom
Magnetic moment   0.00 Bohr magnetons per cell



Arrangement ii

A plane-wave DFT calculation with PBE was carried out for crystalline Cr2Co2Tc at its relaxed geometry.

Cell and atoms, written as POSCAR:
```
Cr2Co2Tc
1.0
3.4386 0.0000 0.0000
0.0000 3.4386 0.0000
1.7193 1.7193 5.2260
Cr Co Tc
2 2 1
direct
0.2500 0.7500 0.5000
0.7500 0.2500 0.5000
0.6029 0.6029 0.7942
0.3971 0.3971 0.2058
0.0000 0.0000 0.0000
```

Results
DOS(E_F)   0.850 states/eV per atom
Magnetic moment   0.00 Bohr magnetons per cell



Arrangement iii

A plane-wave DFT calculation with PBE was carried out for crystalline Cr2Co2Tc at its relaxed geometry.

Cell and atoms, written as POSCAR:
```
Cr2Co2Tc
1.0
-1.8251 6.1889 2.2649
-4.3041 -2.8991 4.4535
1.8426 -0.0875 1.7239
Cr Tc Co
4 2 4
direct
0.6725 0.8275 0.5000
0.8275 0.3275 0.5000
0.3275 0.1725 0.5000
0.1725 0.6725 0.5000
0.5000 0.5000 0.0000
0.0000 0.0000 0.0000
0.8764 0.6236 0.0000
0.3764 0.8764 0.0000
0.1236 0.3764 0.0000
0.6236 0.1236 0.0000
```

Results
DOS(E_F)   1.169 states/eV per atom
Magnetic moment   0.00 Bohr magnetons per cell



Energies, relative to the best one, in meV/atom: arrangement i 37; arrangement ii 304; arrangement iii 0.



Arrangement i

A plane-wave DFT calculation with PBE was carried out for crystalline CrCoTc at its relaxed geometry.

Cell and atoms, written as POSCAR:
```
CrCoTc
1.0
4.5204 -0.0004 0.0005
2.2801 3.9033 -0.0005
-2.9900 -2.6663 2.0941
Cr Co Tc
1 1 1
direct
0.3392 0.3392 0.0000
0.9958 0.9958 0.0000
0.6650 0.6650 0.0000
```

Results
DOS(E_F)   1.391 states/eV per atom
Magnetic moment   0.01 Bohr magnetons per cell



Arrangement ii

A plane-wave DFT calculation with PBE was carried out for crystalline CrCoTc at its relaxed geometry.

Cell and atoms, written as POSCAR:
```
CrCoTc
1.0
5.8396 -0.0040 0.0041
5.2740 2.5080 0.0445
0.5657 0.0893 2.5108
Co Cr Tc
1 1 1
direct
0.9941 0.9941 0.0059
0.3439 0.3439 0.6561
0.6620 0.6620 0.3380
```

Results
DOS(E_F)   1.507 states/eV per atom
Magnetic moment   0.00 Bohr magnetons per cell



Arrangement iii

A plane-wave DFT calculation with PBE was carried out for crystalline CrCoTc at its relaxed geometry.

Cell and atoms, written as POSCAR:
```
CrCoTc
1.0
-3.0985 -1.1820 1.0893
-1.0969 -0.3371 -3.4859
3.5575 -4.7774 -0.6574
Tc Cr Co
2 2 2
direct
0.0916 0.7500 0.1831
0.9084 0.2500 0.8169
0.5924 0.2500 0.1848
0.4076 0.7500 0.8152
0.7513 0.7500 0.5026
0.2487 0.2500 0.4974
```

Results
DOS(E_F)   1.356 states/eV per atom
Magnetic moment   1.11 Bohr magnetons per cell



Arrangement iv

A plane-wave DFT calculation with PBE was carried out for crystalline CrCoTc at its relaxed geometry.

Cell and atoms, written as POSCAR:
```
CrCoTc
1.0
-1.2816 2.0106 3.1105
-3.6759 -0.4869 1.2692
-0.6743 -1.8513 3.3879
Co Cr Tc
1 1 1
direct
0.5000 0.5000 0.5000
0.7500 0.7500 0.7500
0.0000 0.0000 0.0000
```

Results
DOS(E_F)   1.489 states/eV per atom
Magnetic moment   0.86 Bohr magnetons per cell



Energies, relative to the best one, in meV/atom: arrangement i 65; arrangement ii 49; arrangement iii 0; arrangement iv 530.



Arrangement i

A plane-wave DFT calculation with PBE was carried out for crystalline CrCoTe at its relaxed geometry.

Cell and atoms, written as POSCAR:
```
CrCoTe
1.0
4.1529 0.0000 0.0000
2.0764 3.5965 0.0000
2.0764 1.1988 3.3908
Cr Co Te
1 1 1
direct
0.2500 0.2500 0.2500
0.0000 0.0000 0.0000
0.7500 0.7500 0.7500
```

Results
DOS(E_F)   1.027 states/eV per atom
Magnetic moment   3.00 Bohr magnetons per cell



Arrangement ii

A plane-wave DFT calculation with PBE was carried out for crystalline CrCoTe at its relaxed geometry.

Cell and atoms, written as POSCAR:
```
CrCoTe
1.0
4.1600 0.0000 0.0000
2.0800 3.6026 0.0000
2.0800 1.2009 3.3966
Cr Te Co
1 1 1
direct
0.7500 0.7500 0.7500
0.0000 0.0000 0.0000
0.5000 0.5000 0.5000
```

Results
DOS(E_F)   1.043 states/eV per atom
Magnetic moment   2.61 Bohr magnetons per cell



Arrangement iii

A plane-wave DFT calculation with PBE was carried out for crystalline CrCoTe at its relaxed geometry.

Cell and atoms, written as POSCAR:
```
CrCoTe
1.0
-0.8299 4.3881 -1.3066
-3.9173 1.9001 1.6416
3.6078 -2.3176 1.8066
Co Cr Te
1 1 1
direct
0.9908 0.9908 0.0000
0.3380 0.3380 0.0000
0.6712 0.6712 0.0000
```

Results
DOS(E_F)   1.470 states/eV per atom
Magnetic moment   4.20 Bohr magnetons per cell



Arrangement iv

A plane-wave DFT calculation with PBE was carried out for crystalline CrCoTe at its relaxed geometry.

Cell and atoms, written as POSCAR:
```
CrCoTe
1.0
3.7923 -0.1209 0.0712
-1.7606 4.2318 -0.1825
-0.2051 -0.8780 8.2094
Cr Co Te
2 2 2
direct
0.3717 0.7429 0.5562
0.6283 0.2571 0.4438
0.1227 0.2440 0.5986
0.8773 0.7560 0.4014
0.3911 0.7859 0.2031
0.6089 0.2141 0.7969
```

Results
DOS(E_F)   0.286 states/eV per atom
Magnetic moment   0.00 Bohr magnetons per cell



Energies, relative to the best one, in meV/atom: arrangement i 0; arrangement ii 277; arrangement iii 328; arrangement iv 115.



Arrangement i

A plane-wave DFT calculation with PBE was carried out for crystalline TiCrCo2 at its relaxed geometry.

Cell and atoms, written as POSCAR:
```
TiCrCo2
1.0
0.0000 2.9231 2.9231
2.9231 0.0000 2.9231
2.9231 2.9231 0.0000
Co Ti Cr
2 1 1
direct
0.2500 0.2500 0.2500
0.7500 0.7500 0.7500
0.0000 0.0000 0.0000
0.5000 0.5000 0.5000
```

Results
DOS(E_F)   0.520 states/eV per atom
Magnetic moment   4.06 Bohr magnetons per cell



Arrangement ii

A plane-wave DFT calculation with PBE was carried out for crystalline TiCrCo2 at its relaxed geometry.

Cell and atoms, written as POSCAR:
```
TiCrCo2
1.0
2.6269 0.0000 0.0000
0.0000 2.6269 0.0000
0.0000 0.0000 6.9192
Ti Co Cr
1 2 1
direct
0.5000 0.5000 0.0000
0.0000 0.0000 0.7298
0.0000 0.0000 0.2702
0.5000 0.5000 0.5000
```

Results
DOS(E_F)   0.841 states/eV per atom
Magnetic moment   0.00 Bohr magnetons per cell



Energies, relative to the best one, in meV/atom: arrangement i 0; arrangement ii 54.